# MnPbWO6

MnPbWO6 after structural relaxation (GGA+U, Alexandria via LeMat-Bulk).

Output
Calculated total energy ... -6.88 eV/atom
V ... 13.05 A^3/atom

```
data_MnPbWO6
_chemical_formula_sum 'Mn2 Pb2 W2 O12'
_cell_length_a 4.9149
_cell_length_b 4.9149
_cell_length_c 9.7268
_cell_angle_alpha 90.00
_cell_angle_beta 90.00
_cell_angle_gamma 90.00
_symmetry_space_group_name_H-M 'P 1'
_symmetry_Int_Tables_number 1
loop_
_symmetry_equiv_pos_as_xyz
'x,y,z'
loop_
_atom_site_label
_atom_site_type_symbol
_atom_site_fract_x
_atom_site_fract_y
_atom_site_fract_z
Mn1 Mn 0.0000 0.0000 0.0000
Mn2 Mn 0.5000 0.5000 0.5000
Pb1 Pb 0.0000 0.0000 0.6714
Pb2 Pb 0.5000 0.5000 0.1714
W1 W 0.0000 0.0000 0.3344
W2 W 0.5000 0.5000 0.8344
O1 O 0.1866 0.1866 0.1860
O2 O 0.1885 0.1885 0.4858
O3 O 0.2166 0.2166 0.8363
O4 O 0.2834 0.7166 0.3363
O5 O 0.3115 0.6885 0.9858
O6 O 0.3134 0.6866 0.6860
O7 O 0.6866 0.3134 0.6860
O8 O 0.6885 0.3115 0.9858
O9 O 0.7166 0.2834 0.3363
O10 O 0.7834 0.7834 0.8363
O11 O 0.8115 0.8115 0.4858
O12 O 0.8134 0.8134 0.1860
```